# 1
{"formula": "KRb3Co2Br8", "functional": "GGA-PBE", "state": "optimized geometry", "final_energy_ev_per_cell": -47.12, "raw_formation_energy_ev_per_atom": -1.109, "lattice_angstrom": [[8.064, 0.000, 0.000], [-4.032, 6.983, 0.000], [0.000, 0.000, 9.783]], "species": ["K", "Rb", "Rb", "Rb", "Co", "Co", "Br", "Br", "Br", "Br", "Br", "Br", "Br", "Br"], "fractional_positions": [[0.000, 0.000, 0.000], [0.000, 0.000, 0.500], [0.333, 0.667, 0.121], [0.667, 0.333, 0.879], [0.333, 0.667, 0.700], [0.667, 0.333, 0.300], [0.175, 0.349, 0.797], [0.175, 0.825, 0.797], [0.333, 0.667, 0.461], [0.349, 0.175, 0.203], [0.651, 0.825, 0.797], [0.667, 0.333, 0.539], [0.825, 0.175, 0.203], [0.825, 0.651, 0.203]]}

# 2
{"formula": "SmY2In", "functional": "GGA-PBE", "state": "optimized geometry", "final_energy_ev_per_cell": -21.49, "formation_enthalpy_0k_ev_per_atom": -0.28, "de_polymorph_mev_per_atom": 0, "lattice_angstrom": [[4.908, 0.000, 0.000], [0.000, 4.908, 0.000], [0.000, 0.000, 4.853]], "species": ["Sm", "Y", "Y", "In"], "fractional_positions": [[0.000, 0.000, 0.000], [0.000, 0.500, 0.500], [0.500, 0.000, 0.500], [0.500, 0.500, 0.000]]}

# 3
{"formula": "KNa3Sr3", "functional": "GGA-PBE", "state": "optimized geometry", "final_energy_ev_per_cell": -13.76, "formation_enthalpy_0k_ev_per_atom": 0.46, "lattice_angstrom": [[9.941, 0.000, 0.000], [0.000, 9.941, 0.000], [0.000, 0.000, 9.941]], "species": ["K", "K", "Na", "Na", "Na", "Na", "Na", "Na", "Sr", "Sr", "Sr", "Sr", "Sr", "Sr"], "fractional_positions": [[0.000, 0.000, 0.000], [0.500, 0.500, 0.500], [0.000, 0.250, 0.500], [0.000, 0.750, 0.500], [0.250, 0.500, 0.000], [0.500, 0.000, 0.250], [0.500, 0.000, 0.750], [0.750, 0.500, 0.000], [0.000, 0.500, 0.250], [0.000, 0.500, 0.750], [0.250, 0.000, 0.500], [0.500, 0.250, 0.000], [0.500, 0.750, 0.000], [0.750, 0.000, 0.500]]}

Number 1: density 3.17 g cm⁻³. Number 2: density 6.29 g cm⁻³. Number 3: density 1.25 g cm⁻³.